No. 1
Here is NaSrCl2 after structural relaxation from Alexandria. Energies are from GGA-PBE.

Lattice parameters (Å, degrees): 6.700 6.700 8.254 66.05 66.05 90.00
Fractional positions:
1 Sr 0.000 0.000 0.000
2 Na 0.500 0.500 0.000
3 Cl 0.130 0.625 0.250
4 Cl 0.620 0.125 0.250
5 Cl 0.875 0.870 0.750
6 Sr 0.750 0.250 0.500
7 Na 0.250 0.750 0.500
8 Cl 0.375 0.380 0.750

Values from the calculation:
E_tot = -3.26 eV/atom
symmetry = I-42d

=====

No. 2
Here is NaCo3Se after structural relaxation from Alexandria. Energies are from GGA-PBE.

Lattice parameters (Å, degrees): 4.438 4.438 4.438 90.00 90.00 90.00
Each line ends with the local moment (μB).
Fractional positions:
1 Co 0.500 0.000 0.000  1.62
2 Co 0.000 0.500 0.000  1.44
3 Se 0.000 0.000 0.000  0.01
4 Co 0.000 0.000 0.500  1.27
5 Na 0.500 0.500 0.500  -0.02

Values from the calculation:
E_tot = -4.67 eV/atom
symmetry = Pm-3m

=====

No. 3
Here is NiS after structural relaxation from Alexandria. Energies are from GGA-PBE.

Lattice parameters (Å, degrees): 6.796 6.796 6.796 90.00 90.00 90.00
Fractional positions:
1 S 0.819 0.819 0.181
2 Ni 0.640 0.640 0.360
3 Ni 0.640 0.360 0.640
4 S 0.181 0.181 0.181
5 S 0.319 0.681 0.319
6 Ni 0.140 0.140 0.860
7 S 0.319 0.319 0.681
8 Ni 0.360 0.360 0.360
9 Ni 0.860 0.860 0.860
10 S 0.681 0.319 0.319
11 S 0.181 0.819 0.819
12 S 0.681 0.681 0.681
13 S 0.819 0.181 0.819
14 Ni 0.860 0.140 0.140
15 Ni 0.140 0.860 0.140
16 Ni 0.360 0.640 0.640

Values from the calculation:
E_tot = -5.22 eV/atom
symmetry = I-43m

=====

No. 4
Here is ZrMo2Pb after structural relaxation from Alexandria. Energies are from GGA-PBE.

Lattice parameters (Å, degrees): 5.527 5.527 4.667 65.00 65.00 37.04
Fractional positions:
1 Mo 0.730 0.730 0.770
2 Zr 0.263 0.263 0.237
3 Pb 0.489 0.489 0.510
4 Mo 0.017 0.017 0.982

Values from the calculation:
E_tot = -8.28 eV/atom
symmetry = Imm2
calculated formation energy = 19.09 kJ/mol of atoms

=====

No. 5
Here is SrNdAl3O7 after structural relaxation from Alexandria. Energies are from GGA-PBE.

Lattice parameters (Å, degrees): 7.921 7.921 5.235 90.00 90.00 90.14
Fractional positions:
1 O 0.835 0.417 0.187
2 Nd 0.661 0.661 0.514
3 O 0.660 0.906 0.804
4 O 0.094 0.340 0.804
5 Al 0.000 0.500 0.998
6 Al 0.642 0.358 0.039
7 O 0.906 0.660 0.804
8 Al 0.855 0.855 0.962
9 O 0.340 0.094 0.804
10 O 0.154 0.154 0.294
11 Al 0.500 0.000 0.998
12 O 0.417 0.835 0.187
13 O 0.630 0.370 0.705
14 O 0.165 0.583 0.187
15 O 0.370 0.630 0.705
16 O 0.583 0.165 0.187
17 O 0.846 0.846 0.294
18 O 0.500 0.500 0.192
19 O 0.000 0.000 0.840
20 Al 0.358 0.642 0.039
21 Nd 0.339 0.339 0.514
22 Al 0.145 0.145 0.962
23 Sr 0.161 0.839 0.490
24 Sr 0.839 0.161 0.490

Values from the calculation:
E_tot = -7.52 eV/atom
symmetry = Cmm2

=====

No. 6
Here is La2MgCuPb after structural relaxation from Alexandria. Energies are from GGA-PBE.

Lattice parameters (Å, degrees): 5.522 5.522 4.957 90.00 90.00 90.00
Fractional positions:
1 Cu 0.000 0.000 0.000
2 Pb 0.500 0.500 0.500
3 Mg 0.000 0.000 0.500
4 La 0.000 0.500 0.000
5 La 0.500 0.000 0.000

Values from the calculation:
E_tot = -4.04 eV/atom
symmetry = P4/mmm
calculated formation energy = -18.11 kJ/mol of atoms

=====

No. 7
Here is La8Y4Er after structural relaxation from Alexandria. Energies are from GGA-PBE.

Lattice parameters (Å, degrees): 7.260 7.256 10.923 90.00 109.43 119.98
Fractional positions:
1 La 0.040 0.247 0.288
2 Y 0.500 0.000 0.000
3 Y 0.500 0.500 0.000
4 Y 0.000 0.000 0.000
5 La 0.960 0.753 0.712
6 La 0.040 0.793 0.288
7 La 0.419 0.210 0.628
8 La 0.960 0.207 0.712
9 La 0.495 0.248 0.288
10 La 0.505 0.752 0.712
11 Er 0.000 0.500 0.500
12 Y 0.000 0.500 0.000
13 La 0.581 0.790 0.372

Values from the calculation:
E_tot = -5.21 eV/atom
symmetry = R-3m
calculated formation energy = 15.75 kJ/mol of atoms

=====

No. 8
Here is Dy6TmTh4 after structural relaxation from Alexandria. Energies are from GGA-PBE.

Lattice parameters (Å, degrees): 5.827 3.420 18.171 95.40 99.23 90.00
Fractional positions:
1 Th 0.818 0.818 0.636
2 Th 0.182 0.182 0.364
3 Dy 0.369 0.869 0.738
4 Dy 0.905 0.405 0.810
5 Dy 0.095 0.595 0.190
6 Dy 0.267 0.767 0.534
7 Tm 0.000 0.000 0.000
8 Th 0.456 0.456 0.913
9 Dy 0.631 0.131 0.262
10 Th 0.544 0.544 0.087
11 Dy 0.733 0.233 0.466

Values from the calculation:
E_tot = -5.45 eV/atom
symmetry = Immm
calculated formation energy = 15.65 kJ/mol of atoms

=====

Q: Among the records above, which one has the lowest E_tot?
A: ZrMo2Pb